# 1
Cu2AsCl | PBE-GGA | relaxed

Output
ΔE_f (raw) in meV per atom: -73
Offset from the most stable computed form in meV/atom: 9
Crystal system: tetragonal
Space group: P4mm (99)

a = 3.2263 Å, b = 3.2291 Å, c = 7.1570 Å
α = 90.00°, β = 90.00°, γ = 90.00°
Fractional positions:
1 Cl 0.5000 0.5000 0.8598
2 Cu 0.0000 0.0000 0.0382
3 Cu 0.5000 0.5000 0.2208
4 As 0.0000 0.0000 0.3812



# 2
Ho8AsSe3S3 | PBE-GGA | relaxed

Output
ΔE_f (raw) in meV per atom: -1698
Crystal system: trigonal
Space group: R-3m (166)

a = 7.8985 Å, b = 7.8981 Å, c = 7.9649 Å
α = 119.73°, β = 90.00°, γ = 120.00°
Fractional positions:
1 Ho 0.7498 0.0128 0.2626
2 Ho 0.7498 0.4996 0.2626
3 Ho 0.2583 0.5165 0.2749
4 Ho 0.2502 0.5004 0.7374
5 Ho 0.2502 0.9872 0.7374
6 Ho 0.7370 0.9872 0.7374
7 Ho 0.7417 0.4834 0.7251
8 Ho 0.2630 0.0128 0.2626
9 Se 0.0000 0.5000 0.0000
10 Se 0.5000 0.5000 0.0000
11 Se 0.0000 0.0000 0.0000
12 As 0.0000 0.0000 0.5000
13 S 0.5000 0.5000 0.5000
14 S 0.5000 0.0000 0.5000
15 S 0.0000 0.5000 0.5000



# 3
Ca4TcBr | PBE-GGA | relaxed

Output
ΔE_f (raw) in meV per atom: 710
Crystal system: cubic
Space group: F-43m (216)

a = 6.6819 Å, b = 6.6819 Å, c = 6.6819 Å
α = 60.00°, β = 60.00°, γ = 60.00°
Last column: magnetic moment on the atom in μB.
Fractional positions:
1 Ca 0.8700 0.3767 0.3767  -0.08
2 Ca 0.3767 0.8700 0.3767  -0.08
3 Ca 0.3767 0.3767 0.8700  -0.08
4 Ca 0.3767 0.3767 0.3767  -0.08
5 Br 0.0000 0.0000 0.0000  0.01
6 Tc 0.7500 0.7500 0.7500  2.78



# 4
BaSrTbCeO6 | PBE-GGA | relaxed

Output
ΔE_f (raw) in meV per atom: -2866
Offset from the most stable computed form in meV/atom: 84
Crystal system: cubic
Space group: F-43m (216)

a = 6.2500 Å, b = 6.2500 Å, c = 6.2500 Å
α = 60.00°, β = 60.00°, γ = 60.00°
Last column: magnetic moment on the atom in μB.
Fractional positions:
1 O 0.2482 0.2482 0.7518  0.13
2 O 0.7518 0.7518 0.2482  0.13
3 O 0.7518 0.2482 0.2482  0.13
4 O 0.7518 0.2482 0.7518  0.13
5 O 0.2482 0.7518 0.2482  0.13
6 O 0.2482 0.7518 0.7518  0.13
7 Tb 0.5000 0.5000 0.5000  0.06
8 Sr 0.7500 0.7500 0.7500  0.00
9 Ba 0.2500 0.2500 0.2500  -0.01
10 Ce 0.0000 0.0000 0.0000  0.11



# 5
Ac4Te3Ru | PBE-GGA | relaxed

Output
ΔE_f (raw) in meV per atom: -1137
Crystal system: orthorhombic
Space group: Cmmm (65)

a = 4.5207 Å, b = 8.2319 Å, c = 8.2319 Å
α = 107.25°, β = 90.00°, γ = 90.00°
Fractional positions:
1 Ac 0.5000 0.7782 0.2218
2 Ac 0.5000 0.2218 0.7782
3 Ac 0.0000 0.2169 0.2169
4 Ac 0.0000 0.7831 0.7831
5 Te 0.5000 0.5000 0.5000
6 Te 0.0000 0.5000 0.0000
7 Te 0.0000 0.0000 0.5000
8 Ru 0.5000 0.0000 0.0000



# 6
TiCdHRh2 | PBE-GGA | relaxed

Output
Crystal system: tetragonal
Space group: P4/mmm (123)
VASP energy in eV/cell: -28.50

a = 4.1160 Å, b = 4.1160 Å, c = 3.8491 Å
α = 90.00°, β = 90.00°, γ = 90.00°
Fractional positions:
1 Rh 0.0000 0.5000 0.0000
2 Rh 0.5000 0.0000 0.0000
3 H 0.0000 0.0000 0.0000
4 Ti 0.0000 0.0000 0.5000
5 Cd 0.5000 0.5000 0.5000